# 1
# BaSr2Tc (GGA-PBE, relaxed)
data_BaSr2Tc
_chemical_formula_sum 'Ba3 Sr6 Tc3'
_cell_length_a 3.9466
_cell_length_b 3.9466
_cell_length_c 35.1113
_cell_angle_alpha 90.00
_cell_angle_beta 90.00
_cell_angle_gamma 120.00
_space_group_name_H-M_alt 'R 3 m'
_space_group_IT_number 160
_space_group_name_Hall 'R 3 -2"'
loop_
_atom_site_label
_atom_site_type_symbol
_atom_site_fract_x
_atom_site_fract_y
_atom_site_fract_z
Ba1 Ba 0.0000 0.0000 0.0000
Sr1 Sr 0.0000 0.0000 0.2261
Sr2 Sr 0.0000 0.0000 0.4534
Tc1 Tc 0.0000 0.0000 0.7265
# DFT total energy	-37.96	eV for the cell shown
# volume	474	Å³ per cell
# N(E_F)	3.4	states/eV/f.u.
# theoretical density	4.32	g/cm³

# 2
# BaSr2Tc (GGA-PBE, relaxed)
data_BaSr2Tc
_chemical_formula_sum 'Ba2 Sr4 Tc2'
_cell_length_a 3.7708
_cell_length_b 6.0783
_cell_length_c 13.9996
_cell_angle_alpha 90.00
_cell_angle_beta 90.00
_cell_angle_gamma 90.00
_space_group_name_H-M_alt 'I m m m'
_space_group_IT_number 71
_space_group_name_Hall '-I 2 2'
loop_
_atom_site_label
_atom_site_type_symbol
_atom_site_fract_x
_atom_site_fract_y
_atom_site_fract_z
Ba1 Ba 0.0000 0.0000 0.0000
Sr1 Sr 0.0000 0.5000 0.1780
Tc1 Tc 0.0000 0.0000 0.5000
# DFT total energy	-26.00	eV for the cell shown
# volume	321	Å³ per cell
# N(E_F)	5.6	states/eV/f.u.
# theoretical density	4.25	g/cm³

# 3
# Ba2SrTc (GGA-PBE, relaxed)
data_Ba2SrTc
_chemical_formula_sum 'Ba4 Sr2 Tc2'
_cell_length_a 5.5713
_cell_length_b 5.5713
_cell_length_c 9.5852
_cell_angle_alpha 90.00
_cell_angle_beta 90.00
_cell_angle_gamma 90.00
_space_group_name_H-M_alt 'I 4/m m m'
_space_group_IT_number 139
_space_group_name_Hall '-I 4 2'
loop_
_atom_site_label
_atom_site_type_symbol
_atom_site_fract_x
_atom_site_fract_y
_atom_site_fract_z
Ba1 Ba 0.0000 0.5000 0.2500
Sr1 Sr 0.0000 0.0000 0.0000
Tc1 Tc 0.0000 0.0000 0.5000
# DFT total energy	-25.23	eV for the cell shown
# volume	298	Å³ per cell
# N(E_F)	4.5	states/eV/f.u.
# theoretical density	5.14	g/cm³

# 4
# Ba2SrTc (GGA-PBE, relaxed)
data_Ba2SrTc
_chemical_formula_sum 'Ba4 Sr2 Tc2'
_cell_length_a 5.5402
_cell_length_b 5.5402
_cell_length_c 9.5500
_cell_angle_alpha 90.00
_cell_angle_beta 90.00
_cell_angle_gamma 90.00
_space_group_name_H-M_alt 'I -4 m 2'
_space_group_IT_number 119
_space_group_name_Hall 'I -4 -2'
loop_
_atom_site_label
_atom_site_type_symbol
_atom_site_fract_x
_atom_site_fract_y
_atom_site_fract_z
Ba1 Ba 0.0000 0.0000 0.0000
Ba2 Ba 0.0000 0.5000 0.2500
Sr1 Sr 0.0000 0.5000 0.7500
Tc1 Tc 0.0000 0.0000 0.5000
# DFT total energy	-25.23	eV for the cell shown
# volume	293	Å³ per cell
# N(E_F)	6.3	states/eV/f.u.
# theoretical density	5.21	g/cm³